[1]
An optimized crystal structure of KBa2LiPt. Source: Alexandria, functional PBE-GGA.

Cell: 6.2734 6.2734 5.4879 Å, 90.00 90.00 90.00°
Closest atoms and distances in Å follow each position.
Sites, in units of the cell vectors:
Ba  0.0000  0.5000  0.0000  2 Pt 3.14
Ba  0.5000  0.0000  0.0000  2 Pt 3.14
Li  0.0000  0.0000  0.5000  2 Pt 2.74
Pt  0.0000  0.0000  0.0000  2 Li 2.74
K  0.5000  0.5000  0.5000  8 Ba 4.17, 4 Li 4.44

Summary:
ΔE to the lowest computed polymorph   0 meV per atom
N(E_F)   4.34 states/eV/f.u.
Energy of formation from the pure elements   -1.23 eV per formula unit

***

[2]
An optimized crystal structure of KRbBaLi. Source: Alexandria, functional PBE-GGA.

Cell: 6.9524 6.9524 6.9524 Å, 60.00 60.00 60.00°
Closest atoms and distances in Å follow each position.
Sites, in units of the cell vectors:
Rb  0.0000  0.0000  0.0000  4 K 4.26, 4 Li 4.26
Ba  0.5000  0.5000  0.5000  4 Li 4.26, 4 K 4.26
Li  0.7500  0.7500  0.7500  4 Rb 4.26, 4 Ba 4.26
K  0.2500  0.2500  0.2500  4 Ba 4.26, 4 Rb 4.26

Summary:
N(E_F)   3.43 states/eV/f.u.
Energy of formation from the pure elements   0.75 eV per formula unit

***

[3]
An optimized crystal structure of KRb2BaLi. Source: Alexandria, functional PBE-GGA.

Cell: 7.1606 7.1606 7.1593 Å, 90.00 90.00 90.00°
Closest atoms and distances in Å follow each position.
Sites, in units of the cell vectors:
Ba  0.0000  0.0000  0.5000  2 Li 3.58
Rb  0.0000  0.5000  0.0000  2 Li 3.58
Rb  0.5000  0.0000  0.0000  2 Li 3.58
Li  0.0000  0.0000  0.0000  2 Ba 3.58, 4 Rb 3.58
K  0.5000  0.5000  0.5000  8 Rb 5.06, 4 Ba 5.06

Summary:
N(E_F)   5.38 states/eV/f.u.
Energy of formation from the pure elements   1.02 eV per formula unit

***

[4]
An optimized crystal structure of KBa2LiSb. Source: Alexandria, functional PBE-GGA.

Cell: 6.4951 5.0940 6.4951 Å, 90.00 90.00 90.00°
Closest atoms and distances in Å follow each position.
Sites, in units of the cell vectors:
Ba  0.0000  0.0000  0.5000  2 Li 3.25
Ba  0.5000  0.0000  0.0000  2 Li 3.25
Sb  0.0000  0.5000  0.0000  2 Li 2.55
K  0.5000  0.5000  0.5000  8 Ba 4.13, 4 Sb 4.59
Li  0.0000  0.0000  0.0000  2 Sb 2.55

Summary:
E_form (uncorrected)   -0.209 eV/atom
N(E_F)   5.61 states/eV/f.u.

***

[5]
An optimized crystal structure of KBa2Li2Sb2. Source: Alexandria, functional PBE-GGA.

Cell: 4.9409 4.9409 13.3916 Å, 79.37 79.37 60.00°
Closest atoms and distances in Å follow each position.
Sites, in units of the cell vectors:
Sb  0.2698  0.2698  0.1907  3 Li 2.88
Sb  0.7302  0.7302  0.8093  3 Li 2.88
K  0.0000  0.0000  0.0000  6 Li 3.55, 6 Sb 3.79
Li  0.3873  0.3873  0.8382  3 Sb 2.88
Li  0.6127  0.6127  0.1618  3 Sb 2.88
Ba  0.1129  0.1129  0.6612  3 Sb 3.45, 3 Li 3.67
Ba  0.8871  0.8871  0.3388  3 Sb 3.45, 3 Li 3.67

Summary:
E_form (uncorrected)   -0.664 eV/atom
N(E_F)   1.37 states/eV/f.u.

***

[6]
An optimized crystal structure of KBaLiSn. Source: Alexandria, functional PBE-GGA.

Cell: 5.7486 5.7486 5.7486 Å, 60.00 60.00 60.00°
Closest atoms and distances in Å follow each position.
Sites, in units of the cell vectors:
Ba  0.5000  0.5000  0.5000  4 Sn 3.52, 4 K 3.52
Sn  0.2500  0.2500  0.2500  4 Ba 3.52, 4 Li 3.52
K  0.7500  0.7500  0.7500  4 Li 3.52, 4 Ba 3.52
Li  0.0000  0.0000  0.0000  4 Sn 3.52, 4 K 3.52

Summary:
Energy of formation from the pure elements   -1.16 eV per formula unit

***

[7]
An optimized crystal structure of KBaSrLi. Source: Alexandria, functional PBE-GGA.

Cell: 6.6436 6.6436 6.6436 Å, 60.00 60.00 60.00°
Closest atoms and distances in Å follow each position.
Sites, in units of the cell vectors:
K  0.5000  0.5000  0.5000  4 Ba 4.07, 4 Sr 4.07
Sr  0.7500  0.7500  0.7500  4 K 4.07, 4 Li 4.07
Ba  0.2500  0.2500  0.2500  4 K 4.07, 4 Li 4.07
Li  0.0000  0.0000  0.0000  4 Ba 4.07, 4 Sr 4.07

Summary:
N(E_F)   5.20 states/eV/f.u.
Energy of formation from the pure elements   0.60 eV per formula unit

***

[8]
An optimized crystal structure of KBaSr2Li. Source: Alexandria, functional PBE-GGA.

Cell: 6.6093 6.6093 6.7206 Å, 90.00 90.00 90.00°
Closest atoms and distances in Å follow each position.
Sites, in units of the cell vectors:
Sr  0.0000  0.5000  0.0000  2 Li 3.30
Sr  0.5000  0.0000  0.0000  2 Li 3.30
Ba  0.0000  0.0000  0.5000  2 Li 3.36
Li  0.0000  0.0000  0.0000  4 Sr 3.30, 2 Ba 3.36
K  0.5000  0.5000  0.5000  4 Ba 4.67, 8 Sr 4.71

Summary:
ΔE to the lowest computed polymorph   0 meV per atom
N(E_F)   4.68 states/eV/f.u.
Energy of formation from the pure elements   0.79 eV per formula unit

***

[9]
An optimized crystal structure of KBaSr2Li. Source: Alexandria, functional PBE-GGA.

Cell: 6.5786 6.5786 6.5435 Å, 90.00 90.00 90.00°
Closest atoms and distances in Å follow each position.
Sites, in units of the cell vectors:
Sr  0.5000  0.0000  0.0000  2 Li 3.29
Sr  0.0000  0.5000  0.0000  2 Li 3.29
Ba  0.5000  0.5000  0.5000  8 Sr 4.64, 4 K 4.65
Li  0.0000  0.0000  0.0000  2 K 3.27, 4 Sr 3.29
K  0.0000  0.0000  0.5000  2 Li 3.27

Summary:
ΔE to the lowest computed polymorph   33 meV per atom
N(E_F)   4.53 states/eV/f.u.
Energy of formation from the pure elements   0.95 eV per formula unit

***

[10]
An optimized crystal structure of KBaLiTc2. Source: Alexandria, functional PBE-GGA.

Cell: 5.3355 5.7423 5.3355 Å, 90.00 90.00 90.00°
Closest atoms and distances in Å follow each position.
Sites, in units of the cell vectors:
Ba  0.0000  0.0000  0.0000  4 Tc 2.67, 2 Li 2.87
Tc  0.0000  0.0000  0.5000  2 Ba 2.67
Tc  0.5000  0.0000  0.0000  2 Ba 2.67
K  0.5000  0.5000  0.5000  4 Li 3.77, 8 Tc 3.92
Li  0.0000  0.5000  0.0000  2 Ba 2.87

Summary:
N(E_F)   4.76 states/eV/f.u.
Energy of formation from the pure elements   9.55 eV per formula unit

***

[11]
An optimized crystal structure of KBaLiTl2. Source: Alexandria, functional PBE-GGA.

Cell: 5.4791 5.4791 5.6408 Å, 90.00 90.00 90.00°
Closest atoms and distances in Å follow each position.
Sites, in units of the cell vectors:
K  0.0000  0.0000  0.5000  2 Li 2.82
Tl  0.0000  0.5000  0.0000  2 Li 2.74
Tl  0.5000  0.0000  0.0000  2 Li 2.74
Ba  0.5000  0.5000  0.5000  4 K 3.87, 8 Tl 3.93
Li  0.0000  0.0000  0.0000  4 Tl 2.74, 2 K 2.82

Summary:
N(E_F)   6.02 states/eV/f.u.
Energy of formation from the pure elements   -0.37 eV per formula unit

***

[12]
An optimized crystal structure of KBa2Mg. Source: Alexandria, functional PBE-GGA.

Cell: 4.4674 4.4674 10.8917 Å, 90.00 90.00 90.00°
Closest atoms and distances in Å follow each position.
Sites, in units of the cell vectors:
Ba  0.0000  0.0000  0.9435  4 Mg 3.73
Ba  0.5000  0.5000  0.2412  8 Ba 4.47-4.53, 4 K 4.64
Mg  0.5000  0.5000  0.7618  4 Ba 3.73, 4 K 3.89
K  0.0000  0.0000  0.5535  4 Mg 3.89, 1 Ba 4.25

Summary:
N(E_F)   4.10 states/eV/f.u.
Energy of formation from the pure elements   0.36 eV per formula unit

***

[13]
An optimized crystal structure of KBaMg. Source: Alexandria, functional PBE-GGA.

Cell: 8.6233 8.6233 8.6233 Å, 150.62 150.66 42.00°
Closest atoms and distances in Å follow each position.
Sites, in units of the cell vectors:
Mg  0.3402  0.3402  0.0000  4 Ba 3.71, 4 K 3.90
Ba  0.9675  0.9675  0.0000  4 Mg 3.71
K  0.6923  0.6923  0.0000  4 Mg 3.90, 2 K 4.37

Summary:
N(E_F)   3.46 states/eV/f.u.
Energy of formation from the pure elements   0.31 eV per formula unit

***

[14]
An optimized crystal structure of K3BaMg. Source: Alexandria, functional PBE-GGA.

Cell: 8.3435 8.3435 8.3435 Å, 90.00 90.00 90.00°
Closest atoms and distances in Å follow each position.
Sites, in units of the cell vectors:
K  0.0000  0.0000  0.5000  2 Ba 4.17
K  0.0000  0.5000  0.0000  2 Ba 4.17
K  0.5000  0.0000  0.0000  2 Ba 4.17
Ba  0.0000  0.0000  0.0000  6 K 4.17
Mg  0.5000  0.5000  0.5000  12 K 5.90

Summary:
ΔE to the lowest computed polymorph   420 meV per atom
N(E_F)   5.80 states/eV/f.u.
Energy of formation from the pure elements   3.65 eV per formula unit

***

Number 1: mass density 4.0 Mg/m³. Number 2: mass density 1.9 Mg/m³. Number 3: mass density 1.6 Mg/m³. Number 4: mass density 3.4 Mg/m³. Number 5: mass density 3.4 Mg/m³. Number 6: mass density 3.7 Mg/m³. Number 7: mass density 2.2 Mg/m³. Number 8: mass density 2.0 Mg/m³. Number 9: mass density 2.1 Mg/m³. Number 10: mass density 3.9 Mg/m³. Number 11: mass density 5.8 Mg/m³. Number 12: mass density 2.6 Mg/m³. Number 13: mass density 2.2 Mg/m³. Number 14: mass density 0.8 Mg/m³.